A relaxed structure of YSc2Ni. Source: Alexandria, functional PBE.

Geometry as extended XYZ:
```
4
Lattice="-0.642 -1.020 3.097 2.799 -1.811 -0.017 6.871 4.468 2.896" Properties=species:S:1:pos:R:3 pbc="T T T"
Ni 7.036 1.643 3.782
Sc 6.639 4.110 2.730
Sc 2.024 0.042 2.216
Y 5.035 1.640 1.583
```

Values from the calculation:
- ρ: 4.433 g/cm3
- Offset from the most stable computed form: 92 meV per atom
- SG: Pmm2
- DOS at the Fermi energy: 6.0 states/eV/cell
- ΔH_f (0 K): -62.7 kJ/mol of formula units
- E: -6.390 eV/atom
- Crystal system: orthorhombic